# PrCoCuP2, relaxed, DFT GGA-PBE
# VASP energy: -6.064 eV per atom
# total magnetization: 0.000 μB/f.u.
# symmetry: I-4m2, No. 119
# calculated volume: 154 Å³ per cell
data_PrCoCuP2
_cell_length_a 3.948
_cell_length_b 3.948
_cell_length_c 9.873
_cell_angle_alpha 90.00
_cell_angle_beta 90.00
_cell_angle_gamma 90.00
_symmetry_space_group_name_H-M 'P 1'
_symmetry_Int_Tables_number 1
_symmetry_space_group_name_Hall 'P 1'
loop_
_atom_site_label
_atom_site_type_symbol
_atom_site_fract_x
_atom_site_fract_y
_atom_site_fract_z
_atom_site_occupancy
Pr1 Pr 0.000 0.000 0.000 1
Pr2 Pr 0.500 0.500 0.500 1
Co1 Co 0.000 0.500 0.250 1
Co2 Co 0.500 0.000 0.750 1
Cu1 Cu 0.000 0.500 0.750 1
Cu2 Cu 0.500 0.000 0.250 1
P1 P 0.000 0.000 0.372 1
P2 P 0.000 0.000 0.628 1
P3 P 0.500 0.500 0.128 1
P4 P 0.500 0.500 0.872 1